(1)
An optimized crystal structure of LaVSi2. Source: Alexandria, functional PBE.

extended XYZ file:
```
4
Lattice="2.100 1.212 5.310 -2.100 1.212 5.310 0.000 -2.425 5.310" Properties=species:S:1:pos:R:3 pbc="T T T"
La 0.000 0.000 0.000
V 0.000 0.000 7.965
Si 0.000 0.000 3.369
Si 0.000 0.000 12.562
```

Total DFT energy (no corrections): -6.6026 eV per atom
DOS(E_F): 3.408 states/eV/cell
Energy relative to the elements, uncorrected: -380 meV per atom
Mass density: 5.036 g/cm3
E above lowest polymorph: 0.0 meV/atom

***

(2)
An optimized crystal structure of LaVSi3. Source: Alexandria, functional PBE.

extended XYZ file:
```
5
Lattice="5.358 0.000 0.000 0.000 5.358 0.000 0.000 0.000 5.358" Properties=species:S:1:pos:R:3 pbc="T T T"
La 0.000 0.000 0.000
V 2.679 2.679 2.679
Si 0.000 0.000 2.679
Si 0.000 2.679 0.000
Si 2.679 0.000 0.000
```

Total DFT energy (no corrections): -4.3912 eV per atom
DOS(E_F): 8.176 states/eV/cell
Energy relative to the elements, uncorrected: 1672 meV per atom
Mass density: 2.960 g/cm3

***

Look up the energy relative to the elements, uncorrected of the second one.
1672 meV per atom